Entry 1:
## ZnCrIn (SCAN)

Data for a PBEsol-optimized structure of ZnCrIn.

abc: 3.0595 3.0595 6.5404
angles: 90.00 90.00 120.00
Closest atoms and distances in Å follow each position.
Fractional coordinates of all 3 atoms:
Zn: 0.6667 0.3333 0.3139  3 Cr 2.63, 3 In 2.93
Cr: 0.0000 0.0000 0.0157  3 Zn 2.63, 3 In 2.87
In: 0.3333 0.6667 0.6704  3 Cr 2.87, 3 Zn 2.93, 6 In 3.06

Calculated values
Energy (eV per atom): -21.51
Volume (Å³ per cell): 53.0
Calculated formation energy (eV/f.u.): 0.76
DOS at the Fermi energy (states/eV/atom): 0.413

---

Entry 2:
## ZrCrIn2 (SCAN)

Data for a PBEsol-optimized structure of ZrCrIn2.

abc: 4.2656 4.2647 5.1888
angles: 114.26 114.27 90.00
Closest atoms and distances in Å follow each position.
Fractional coordinates of all 4 atoms:
Zr: 0.0000 0.5000 0.0000  8 In 3.00, 4 Cr 3.02
In: 0.7500 0.7500 0.5000  4 Zr 3.00, 4 Cr 3.00, 4 In 3.02
In: 0.2500 0.2500 0.5000  4 Zr 3.00, 4 Cr 3.00, 4 In 3.02
Cr: 0.5000 0.0000 0.0000  8 In 3.00, 4 Zr 3.02

Calculated values
Distance to the lowest polymorph of the same formula (meV per atom): 56
Energy (eV per atom): -29.09
Volume (Å³ per cell): 76.8
Calculated formation energy (eV/f.u.): -0.50
DOS at the Fermi energy (states/eV/atom): 0.505

---

Entry 3:
## Zr2CrIn (SCAN)

Data for a PBEsol-optimized structure of Zr2CrIn.

abc: 4.1368 4.1368 5.3888
angles: 112.57 112.57 90.00
Closest atoms and distances in Å follow each position.
Fractional coordinates of all 4 atoms:
Zr: 0.7500 0.2500 0.5000  4 In 2.93, 4 Zr 3.07, 4 Cr 3.07
Cr: 0.5000 0.5000 0.0000  8 Zr 2.93-3.07, 4 In 3.07
In: 0.2500 0.7500 0.5000  8 Zr 2.93-3.07, 4 Cr 3.07
Zr: 0.0000 0.0000 0.0000  4 Cr 2.93, 4 In 3.07, 4 Zr 3.07

Calculated values
Energy (eV per atom): -28.42
Volume (Å³ per cell): 77.4
Calculated formation energy (eV/f.u.): -0.51
DOS at the Fermi energy (states/eV/atom): 0.734

---

Entry 4:
## ZrCrIn2 (SCAN)

Data for a PBEsol-optimized structure of ZrCrIn2.

abc: 3.1346 3.1331 7.9051
angles: 90.00 90.00 90.00
Closest atoms and distances in Å follow each position.
Fractional coordinates of all 4 atoms:
In: 0.0000 0.0000 0.2708  4 Cr 2.86, 4 Zr 3.08, 4 In 3.13
Zr: 0.5000 0.5000 0.0000  8 In 3.08, 4 Zr 3.13
In: 0.0000 0.0000 0.7292  4 Cr 2.86, 4 Zr 3.08, 4 In 3.13
Cr: 0.5000 0.5000 0.5000  8 In 2.86, 4 Cr 3.13

Calculated values
Distance to the lowest polymorph of the same formula (meV per atom): 0
Energy (eV per atom): -29.15
Volume (Å³ per cell): 77.6
Calculated formation energy (eV/f.u.): -0.72
DOS at the Fermi energy (states/eV/atom): 0.439

---

Entry 5:
## Zr2CrIn (SCAN)

Data for a PBEsol-optimized structure of Zr2CrIn.

abc: 3.2037 4.8817 5.7355
angles: 115.19 106.22 90.00
Closest atoms and distances in Å follow each position.
Fractional coordinates of all 4 atoms:
Cr: 0.5037 0.5037 0.0074  6 Zr 2.68-2.92, 2 In 2.76
Zr: 0.9992 0.9992 0.9984  4 Cr 2.92, 2 In 3.17, 4 Zr 3.18-3.20
In: 0.7762 0.2762 0.5523  2 Cr 2.76, 4 Zr 2.97
Zr: 0.2209 0.7209 0.4418  2 Cr 2.68, 4 In 2.97

Calculated values
Energy (eV per atom): -28.35
Volume (Å³ per cell): 77.2
Calculated formation energy (eV/f.u.): -0.25
DOS at the Fermi energy (states/eV/atom): 0.987

---

Entry 6:
## CrIr5 (SCAN)

Data for a PBEsol-optimized structure of CrIr5.

abc: 2.7096 4.3034 7.1500
angles: 90.00 100.92 90.00
Closest atoms and distances in Å follow each position.
Fractional coordinates of all 6 atoms:
Ir: 0.7778 0.5000 0.5556  12 Ir 2.68-2.73
Ir: 0.6615 0.0000 0.3229  2 Cr 2.63, 10 Ir 2.65-2.82
Cr: 0.0010 0.0000 0.0020  10 Ir 2.63-2.66, 2 Cr 2.71
Ir: 0.3377 0.0000 0.6755  10 Ir 2.64-2.82, 2 Cr 2.66
Ir: 0.4466 0.5000 0.8932  8 Ir 2.64-2.73, 4 Cr 2.65
Ir: 0.1088 0.5000 0.2175  2 Cr 2.63, 10 Ir 2.65-2.73

Calculated values
Energy (eV per atom): -62.44
Volume (Å³ per cell): 81.9
Calculated formation energy (eV/f.u.): -0.73
DOS at the Fermi energy (states/eV/atom): 0.765

---

Entry 7:
## CrIr5 (SCAN)

Data for a PBEsol-optimized structure of CrIr5.

abc: 4.2909 4.6887 4.6887
angles: 120.00 90.00 90.00
Closest atoms and distances in Å follow each position.
Fractional coordinates of all 6 atoms:
Ir: 0.0000 0.3289 0.3289  2 Cr 2.64, 10 Ir 2.66-2.73
Cr: 0.5000 0.0000 0.0000  12 Ir 2.64-2.71
Ir: 0.0000 0.6711 0.0000  2 Cr 2.64, 10 Ir 2.66-2.73
Ir: 0.5000 0.6667 0.3333  9 Ir 2.66-2.71, 3 Cr 2.71
Ir: 0.0000 0.0000 0.6711  2 Cr 2.64, 10 Ir 2.66-2.73
Ir: 0.5000 0.3333 0.6667  9 Ir 2.66-2.71, 3 Cr 2.71

Calculated values
Energy (eV per atom): -62.45
Volume (Å³ per cell): 81.7
Calculated formation energy (eV/f.u.): -0.85
DOS at the Fermi energy (states/eV/atom): 0.864

---

Entry 8:
## CrIr5 (SCAN)

Data for a PBEsol-optimized structure of CrIr5.

abc: 2.6910 2.6910 11.2853
angles: 90.00 90.00 90.00
Closest atoms and distances in Å follow each position.
Fractional coordinates of all 6 atoms:
Ir: 0.5000 0.5000 0.6688  12 Ir 2.69-2.75
Ir: 0.5000 0.5000 0.3312  12 Ir 2.69-2.75
Ir: 0.0000 0.0000 0.8449  4 Cr 2.59, 8 Ir 2.69-2.75
Ir: 0.0000 0.0000 0.5000  12 Ir 2.69
Cr: 0.5000 0.5000 0.0000  8 Ir 2.59, 4 Cr 2.69
Ir: 0.0000 0.0000 0.1551  4 Cr 2.59, 8 Ir 2.69-2.75

Calculated values
Energy (eV per atom): -62.41
Volume (Å³ per cell): 81.7
Calculated formation energy (eV/f.u.): -0.60
DOS at the Fermi energy (states/eV/atom): 0.820

---

Entry 9:
## CrIr3 (SCAN)

Data for a PBEsol-optimized structure of CrIr3.

abc: 4.2614 5.3780 5.3780
angles: 120.00 90.00 90.00
Closest atoms and distances in Å follow each position.
Fractional coordinates of all 8 atoms:
Ir: 0.2500 0.8309 0.1691  4 Cr 2.62-2.69, 8 Ir 2.65-2.73
Ir: 0.2500 0.3382 0.1691  4 Cr 2.62-2.69, 8 Ir 2.65-2.73
Ir: 0.7500 0.1691 0.3382  4 Cr 2.62-2.69, 8 Ir 2.65-2.73
Ir: 0.2500 0.8309 0.6618  4 Cr 2.62-2.69, 8 Ir 2.65-2.73
Ir: 0.7500 0.6618 0.8309  4 Cr 2.62-2.69, 8 Ir 2.65-2.73
Cr: 0.7500 0.6667 0.3333  12 Ir 2.62-2.69
Ir: 0.7500 0.1691 0.8309  4 Cr 2.62-2.69, 8 Ir 2.65-2.73
Cr: 0.2500 0.3333 0.6667  12 Ir 2.62-2.69

Calculated values
Energy (eV per atom): -58.25
Volume (Å³ per cell): 106.7
Calculated formation energy (eV/f.u.): -1.30
DOS at the Fermi energy (states/eV/atom): 0.537

---

Entry 10:
## CrIr3 (SCAN)

Data for a PBEsol-optimized structure of CrIr3.

abc: 2.6999 4.2630 4.6574
angles: 90.00 90.00 90.00
Closest atoms and distances in Å follow each position.
Fractional coordinates of all 4 atoms:
Cr: 0.0000 0.0000 0.0035  10 Ir 2.62-2.72, 2 Cr 2.70
Ir: 0.5000 0.0000 0.4966  8 Ir 2.64-2.70, 4 Cr 2.66-2.72
Ir: 0.5000 0.5000 0.8373  4 Cr 2.64, 8 Ir 2.66-2.72
Ir: 0.0000 0.5000 0.3292  2 Cr 2.62, 10 Ir 2.64-2.72

Calculated values
Energy (eV per atom): -58.12
Volume (Å³ per cell): 53.6
Calculated formation energy (eV/f.u.): -0.81
DOS at the Fermi energy (states/eV/atom): 0.816

---

Entry 11:
## CrIr3 (SCAN)

Data for a PBEsol-optimized structure of CrIr3.

abc: 2.6885 4.6152 4.6152
angles: 109.22 90.00 90.00
Closest atoms and distances in Å follow each position.
Fractional coordinates of all 4 atoms:
Ir: 0.5000 0.0000 0.5000  4 Cr 2.67, 8 Ir 2.67-2.69
Ir: 0.5000 0.5000 0.0000  8 Ir 2.67-2.69, 4 Cr 2.67
Cr: 0.0000 0.0000 0.0000  10 Ir 2.67, 2 Cr 2.69
Ir: 0.0000 0.5000 0.5000  10 Ir 2.67-2.69, 2 Cr 2.67

Calculated values
Energy (eV per atom): -58.18
Volume (Å³ per cell): 54.1
Calculated formation energy (eV/f.u.): -1.05
DOS at the Fermi energy (states/eV/atom): 0.687

---

Entry 12:
## CrIr5 (SCAN)

Data for a PBEsol-optimized structure of CrIr5.

abc: 2.7042 5.0877 6.3609
angles: 103.61 90.00 105.41
Closest atoms and distances in Å follow each position.
Fractional coordinates of all 6 atoms:
Ir: 0.7189 0.4377 0.9468  9 Ir 2.60-2.70, 3 Cr 2.62-2.70
Cr: 0.0000 0.0000 0.9976  10 Ir 2.62-2.70, 2 Cr 2.70
Ir: 0.3384 0.6768 0.6789  2 Cr 2.62, 10 Ir 2.64-2.82
Ir: 0.6630 0.3260 0.3257  10 Ir 2.60-2.82, 2 Cr 2.67
Ir: 0.3911 0.7821 0.2703  10 Ir 2.60-2.77, 2 Cr 2.62
Ir: 0.0553 0.1106 0.6141  1 Cr 2.63, 11 Ir 2.64-2.74

Calculated values
Energy (eV per atom): -62.44
Volume (Å³ per cell): 81.8
Calculated formation energy (eV/f.u.): -0.73
DOS at the Fermi energy (states/eV/atom): 0.846